[1]
A plane-wave DFT calculation with PBE was carried out for a relaxed structure of Nd3Mg3InGa2.

Cell: 7.522 7.522 4.645 Å, 90.00 90.00 120.00°
Fractional coordinates of all 9 atoms:
Mg 0.248 0.000 0.500
Mg 0.752 0.752 0.500
Mg 0.000 0.248 0.500
Nd 0.565 0.000 0.000
Nd 0.435 0.435 0.000
Nd 0.000 0.565 0.000
Ga 0.333 0.667 0.500
Ga 0.667 0.333 0.500
In 0.000 0.000 0.000

Results
E = -31.95 eV/cell
space group = P-62m, No. 189



[2]
A plane-wave DFT calculation with PBE was carried out for a relaxed structure of Ho4C7.

Cell: 3.676 12.488 13.734 Å, 90.00 98.79 90.00°
Fractional coordinates of all 44 atoms:
Ho 0.238 0.737 0.006
Ho 0.198 0.485 0.893
Ho 0.238 0.763 0.506
Ho 0.762 0.237 0.494
Ho 0.633 0.805 0.289
Ho 0.379 0.461 0.618
Ho 0.802 0.985 0.607
Ho 0.198 0.015 0.393
Ho 0.379 0.039 0.118
Ho 0.367 0.195 0.711
Ho 0.802 0.515 0.107
Ho 0.762 0.263 0.994
Ho 0.367 0.305 0.211
Ho 0.621 0.961 0.882
Ho 0.633 0.695 0.789
Ho 0.621 0.539 0.382
C 0.196 0.849 0.756
C 0.877 0.171 0.152
C 0.334 0.859 0.674
C 0.877 0.329 0.652
C 0.745 0.890 0.047
C 0.666 0.141 0.326
C 0.334 0.641 0.174
C 0.709 0.617 0.949
C 0.915 0.895 0.139
C 0.909 0.083 0.771
C 0.255 0.390 0.453
C 0.123 0.829 0.848
C 0.091 0.917 0.229
C 0.085 0.395 0.361
C 0.196 0.651 0.256
C 0.666 0.359 0.826
C 0.804 0.151 0.244
C 0.255 0.110 0.953
C 0.804 0.349 0.744
C 0.745 0.610 0.547
C 0.291 0.117 0.551
C 0.909 0.417 0.271
C 0.915 0.605 0.639
C 0.085 0.105 0.861
C 0.091 0.583 0.729
C 0.123 0.671 0.348
C 0.291 0.383 0.051
C 0.709 0.883 0.449

Results
E = -344.52 eV/cell
space group = P2_1/c, No. 14



[3]
A plane-wave DFT calculation with PBE was carried out for a relaxed structure of Er2Al3Si2.

Cell: 5.436 5.436 6.580 Å, 100.07 100.07 43.45°
Fractional coordinates of all 7 atoms:
Er 0.620 0.620 0.823
Er 0.380 0.380 0.177
Al 0.000 0.000 0.500
Al 0.305 0.305 0.633
Al 0.695 0.695 0.366
Si 0.907 0.907 0.861
Si 0.093 0.093 0.141

Results
E = -34.98 eV/cell
space group = C2/m, No. 12



[4]
A plane-wave DFT calculation with PBE was carried out for a relaxed structure of LuBeCd2.

Cell: 4.757 4.757 4.757 Å, 60.00 60.00 60.00°
Fractional coordinates of all 4 atoms:
Lu 0.250 0.250 0.250
Cd 0.750 0.750 0.750
Cd 0.000 0.000 0.000
Be 0.500 0.500 0.500

Results
E = -9.88 eV/cell
space group = F-43m, No. 216



[5]
A plane-wave DFT calculation with PBE was carried out for a relaxed structure of TbEr2Cd3Cu2Ag.

Cell: 3.848 7.644 7.644 Å, 120.00 90.00 90.00°
Fractional coordinates of all 9 atoms:
Cd 0.500 0.001 0.731
Cd 0.500 0.268 0.268
Cd 0.500 0.731 0.001
Cu 0.500 0.667 0.331
Cu 0.500 0.331 0.667
Er 0.000 0.410 0.000
Er 0.000 0.000 0.410
Ag 0.000 0.001 0.001
Tb 0.000 0.590 0.590

Results
ΔE_f = -2.7 eV/f.u.
space group = Amm2, No. 38



[6]
A plane-wave DFT calculation with PBE was carried out for a relaxed structure of Y2Ni.

Cell: 7.858 7.858 3.948 Å, 90.00 90.00 120.00°
Fractional coordinates of all 9 atoms:
Y 0.584 0.000 0.500
Y 0.416 0.416 0.500
Y 0.750 0.750 0.000
Y 0.000 0.250 0.000
Y 0.000 0.584 0.500
Y 0.250 0.000 0.000
Ni 0.000 0.000 0.500
Ni 0.667 0.333 0.000
Ni 0.333 0.667 0.000

Results
ΔE_f = -0.5 eV/f.u.
space group = P-62m, No. 189



[7]
A plane-wave DFT calculation with PBE was carried out for a relaxed structure of Zr2ReO4.

Cell: 6.423 6.423 6.423 Å, 119.99 90.02 119.99°
Fractional coordinates of all 14 atoms:
O 0.617 0.235 0.383
O 0.148 0.765 0.383
O 0.133 0.265 0.867
O 0.602 0.735 0.867
O 0.133 0.265 0.398
O 0.133 0.735 0.867
O 0.617 0.765 0.383
O 0.617 0.235 0.852
Zr 0.875 0.250 0.625
Zr 0.375 0.750 0.125
Zr 0.375 0.250 0.625
Zr 0.375 0.750 0.625
Re 0.000 0.000 0.000
Re 0.750 0.500 0.250

Results
E = -122.10 eV/cell
space group = Fd-3m, No. 227



[8]
A plane-wave DFT calculation with PBE was carried out for a relaxed structure of BeTlNiPt.

Cell: 4.330 4.330 4.330 Å, 60.00 60.00 60.00°
Fractional coordinates of all 4 atoms:
Be 0.250 0.250 0.250
Ni 0.750 0.750 0.750
Tl 0.000 0.000 0.000
Pt 0.500 0.500 0.500

Results
E = -17.31 eV/cell
space group = F-43m, No. 216